KZr2Pb | PBE-GGA | optimized geometry

```
KZr2Pb
1.0
-0.508 4.320 1.748
-4.085 -1.276 1.965
2.286 -1.310 3.903
K Pb Zr
1 1 2
Cartesian
-2.297 1.522 1.856 K
0.889 1.505 2.825 Pb
0.000 0.000 0.000 Zr
-0.899 -1.293 2.934 Zr
```

## Properties
- ΔE to the lowest computed polymorph: 454 meV per atom
- Space group: P4/mmm
- Electronic total energy: -19.67 eV per cell
- Formation enthalpy at 0 K: 557 meV/atom